A geometry-optimized CoCu2 structure. Source: Alexandria via LeMat-Bulk, functional PBE-GGA.

Values from the calculation:
- symmetry = P-62m (189)
- M_tot (μB/cell) = 4.8
- density (g/cm³) = 8.77
- ΔE_f (kJ/mol of formula units) = 64

Cell lengths 7.047, 7.047, 2.458 Å; angles 90.00, 90.00, 120.00 degrees
Fractional positions:
Co  0.667  0.333  0.000
Cu  0.358  0.358  0.500
Co  0.333  0.667  0.000
Cu  0.000  0.642  0.500
Cu  0.308  0.000  0.000
Cu  0.692  0.692  0.000
Co  0.000  0.000  0.500
Cu  0.642  0.000  0.500
Cu  0.000  0.308  0.000